Record 1
VASP calculation (PBE) on a geometry-optimized KMg3Ti structure.

abc: 5.633 5.633 5.633
angles: 90.00 90.00 90.00
Site moments in Bohr magnetons follow the coordinates.
Fractional positions:
K  0.500  0.500  0.500  0.01
Mg  0.500  0.000  0.000  0.06
Mg  0.000  0.000  0.500  0.02
Mg  0.000  0.500  0.000  0.04
Ti  0.000  0.000  0.000  1.98

* SG: No. 221
* density: 1.5 Mg/m³
* size of the total moment: 3.75 μB per formula unit
* crystal system: cubic
* energy above the lowest structure with this stoichiometry: 0 meV per atom
* E: -10.41 eV/cell



Record 2
VASP calculation (PBE) on a geometry-optimized KMgTi2 structure.

abc: 4.357 4.357 11.823
angles: 79.38 79.38 90.00
Fractional positions:
K  0.750  0.250  0.500
K  0.000  0.000  0.000
Ti  0.494  0.625  0.250
Ti  0.256  0.125  0.250
Ti  0.375  0.744  0.750
Ti  0.875  0.506  0.750
Mg  0.500  0.500  0.000
Mg  0.250  0.750  0.500

* SG: No. 122
* density: 2.4 Mg/m³
* size of the total moment: 0.00 μB per formula unit
* crystal system: tetragonal
* E: -28.16 eV/cell



Record 3
VASP calculation (PBE) on a geometry-optimized K2MgTi structure.

abc: 9.914 9.914 7.734
angles: 50.14 50.14 90.00
Site moments in Bohr magnetons follow the coordinates.
Fractional positions:
Mg  0.250  0.750  0.500  0.01
Mg  0.500  0.500  0.000  0.01
K  0.375  0.384  0.750  0.03
K  0.875  0.866  0.750  0.03
K  0.616  0.125  0.250  0.03
K  0.134  0.625  0.250  0.02
Ti  0.000  0.000  0.000  2.02
Ti  0.750  0.250  0.500  2.02

* SG: No. 122
* density: 1.6 Mg/m³
* size of the total moment: 3.29 μB per formula unit
* crystal system: tetragonal
* E: -15.63 eV/cell



Record 4
VASP calculation (PBE) on a geometry-optimized KMg2TiTl structure.

abc: 5.617 5.527 5.617
angles: 90.00 90.00 90.00
Site moments in Bohr magnetons follow the coordinates.
Fractional positions:
Ti  0.000  0.000  0.000  1.70
K  0.500  0.500  0.500  0.00
Mg  0.000  0.000  0.500  0.02
Mg  0.500  0.000  0.000  0.04
Tl  0.000  0.500  0.000  0.14

* SG: No. 123
* density: 3.2 Mg/m³
* size of the total moment: 3.06 μB per formula unit
* crystal system: tetragonal
* E: -12.11 eV/cell



Record 5
VASP calculation (PBE) on a geometry-optimized K2MgTl structure.

abc: 5.495 4.058 8.298
angles: 59.57 90.00 90.00
Fractional positions:
K  0.000  0.004  0.994
K  0.000  0.496  0.506
Mg  0.500  0.250  0.250
Tl  0.500  0.750  0.750

* SG: No. 10
* density: 3.2 Mg/m³
* size of the total moment: 0.00 μB per formula unit
* crystal system: monoclinic
* E: -5.65 eV/cell



Record 6
VASP calculation (PBE) on a geometry-optimized KMgTl11 structure.

abc: 6.358 8.562 8.640
angles: 82.91 68.41 70.41
Fractional positions:
Tl  0.642  0.361  0.353
Tl  0.995  0.361  0.647
Tl  0.000  0.000  0.500
Tl  0.000  0.500  0.000
Tl  0.005  0.639  0.353
Tl  0.702  0.783  0.792
Tl  0.494  0.783  0.208
Tl  0.500  0.000  0.500
Tl  0.506  0.217  0.792
Tl  0.298  0.217  0.208
Tl  0.358  0.639  0.647
Mg  0.500  0.500  0.000
K  0.000  0.000  0.000

* SG: No. 12
* density: 9.3 Mg/m³
* size of the total moment: 0.00 μB per formula unit
* crystal system: monoclinic
* E: -28.88 eV/cell



Record 7
VASP calculation (PBE) on a geometry-optimized KMg3Tl3 structure.

abc: 5.317 9.303 9.303
angles: 120.00 90.00 90.00
Fractional positions:
Mg  0.750  0.787  0.809
Mg  0.750  0.023  0.213
Mg  0.750  0.191  0.977
Mg  0.250  0.809  0.023
Mg  0.250  0.977  0.787
Mg  0.250  0.213  0.191
K  0.250  0.667  0.333
K  0.750  0.333  0.667
Tl  0.750  0.432  0.356
Tl  0.750  0.925  0.568
Tl  0.250  0.568  0.644
Tl  0.250  0.075  0.432
Tl  0.250  0.356  0.925
Tl  0.750  0.644  0.075

* SG: No. 176
* density: 6.0 Mg/m³
* size of the total moment: 0.00 μB per formula unit
* crystal system: hexagonal
* energy above the lowest structure with this stoichiometry: 0 meV per atom
* E: -25.99 eV/cell



Record 8
VASP calculation (PBE) on a geometry-optimized K2Mg2Tl structure.

abc: 4.210 4.210 11.726
angles: 79.66 79.66 90.00
Fractional positions:
Mg  0.750  0.250  0.500
Mg  0.250  0.750  0.500
K  0.398  0.398  0.204
K  0.602  0.602  0.796
Tl  0.000  0.000  0.000

* SG: No. 139
* density: 2.7 Mg/m³
* size of the total moment: 0.00 μB per formula unit
* crystal system: tetragonal
* energy above the lowest structure with this stoichiometry: 84 meV per atom
* E: -6.90 eV/cell



Result set for DFT formation energy: 672, 1100, 967, 488, 127, -13, -2, 171 meV per atom, one per record in the order listed.